# 1
NdPd2Au4 (PBE, relaxed); crystal system = monoclinic; final energy = -31.6 eV per cell; energy above the lowest structure with this stoichiometry = 0 meV per atom
1.0
4.4442 -3.5317 0.0000
4.4442 3.5317 0.0000
-3.3045 0.0000 4.3112
Nd Pd Au
1 2 4
Direct
0.0000 0.0000 0.0000
0.4994 0.4994 0.2495
0.5006 0.5006 0.7505
0.0002 0.3960 0.6980
0.9998 0.6040 0.3020
0.3960 0.0002 0.6980
0.6040 0.9998 0.3020

=====

# 2
Nd8PdAu2 (PBE, relaxed); crystal system = monoclinic; final energy = -54.4 eV per cell; energy above the lowest structure with this stoichiometry = 0 meV per atom
1.0
9.1289 -2.5969 0.0000
9.1289 2.5969 0.0000
-1.3424 0.0000 6.9285
Nd Pd Au
8 1 2
Direct
0.0271 0.0271 0.2749
0.2016 0.2016 0.8321
0.3380 0.3380 0.5274
0.4115 0.4115 0.0495
0.5885 0.5885 0.9505
0.6620 0.6620 0.4726
0.7984 0.7984 0.1679
0.9729 0.9729 0.7251
0.5000 0.5000 0.5000
0.1908 0.1908 0.2458
0.8092 0.8092 0.7542

=====

# 3
NdPd2Au2 (PBE, relaxed); crystal system = orthorhombic; final energy = -49.2 eV per cell; energy above the lowest structure with this stoichiometry = 0 meV per atom
1.0
2.1730 -10.4227 0.0000
2.1730 10.4227 0.0000
0.0000 0.0000 4.2518
Nd Pd Au
2 4 4
Direct
0.1506 0.8494 0.7500
0.8494 0.1506 0.2500
0.0492 0.9508 0.2500
0.2503 0.7497 0.2500
0.7497 0.2503 0.7500
0.9508 0.0492 0.7500
0.3522 0.6478 0.7500
0.4550 0.5450 0.2500
0.5450 0.4550 0.7500
0.6478 0.3522 0.2500

=====

# 4
NdPd6Au2 (PBE, relaxed); crystal system = trigonal; final energy = -43.6 eV per cell; energy above the lowest structure with this stoichiometry = 0 meV per atom
1.0
4.7708 0.0000 0.0000
-2.3854 4.1316 0.0000
0.0000 0.0000 9.3712
Nd Pd Au
1 6 2
Direct
0.0000 0.0000 0.0000
0.0000 0.3390 0.7501
0.0000 0.6610 0.2499
0.3390 0.0000 0.7501
0.3390 0.3390 0.2499
0.6610 0.0000 0.2499
0.6610 0.6610 0.7501
0.3333 0.6667 0.5000
0.6667 0.3333 0.5000

=====

# 5
NdPdAu4 (PBE, relaxed); crystal system = cubic; final energy = -25.9 eV per cell; energy above the lowest structure with this stoichiometry = 0 meV per atom
1.0
0.0000 3.9175 3.9175
3.9175 0.0000 3.9175
3.9175 3.9175 0.0000
Nd Pd Au
1 1 4
Direct
0.0000 0.0000 0.0000
0.7500 0.7500 0.7500
0.3755 0.3755 0.3755
0.3755 0.3755 0.8734
0.3755 0.8734 0.3755
0.8734 0.3755 0.3755

=====

# 6
Nd4Pd5Au2 (PBE, relaxed); crystal system = monoclinic; final energy = -60.3 eV per cell
1.0
7.4121 0.0000 0.0000
0.0000 3.9526 0.0000
-0.2139 0.0000 8.5695
Nd Pd Au
4 5 2
Direct
0.2432 0.0000 0.1184
0.2562 0.0000 0.6169
0.7438 0.0000 0.3831
0.7568 0.0000 0.8816
0.0000 0.5000 0.5000
0.0319 0.5000 0.8298
0.3535 0.5000 0.3778
0.6465 0.5000 0.6222
0.9681 0.5000 0.1702
0.4037 0.5000 0.8614
0.5963 0.5000 0.1386

=====

# 7
Nd3Pd2Au4 (PBE, relaxed); crystal system = monoclinic; final energy = -44.7 eV per cell
1.0
5.5943 -2.1597 0.0000
5.5943 2.1597 0.0000
-4.4402 0.0000 8.5824
Nd Pd Au
3 2 4
Direct
0.0000 0.0000 0.0000
0.3162 0.3162 0.3641
0.6838 0.6838 0.6359
0.4019 0.4019 0.7450
0.5981 0.5981 0.2550
0.0236 0.0236 0.3686
0.2585 0.2585 0.9109
0.7415 0.7415 0.0891
0.9764 0.9764 0.6314

=====

# 8
NdPd4Au (PBE, relaxed); crystal system = cubic; final energy = -32.2 eV per cell
1.0
0.0000 3.8082 3.8082
3.8082 0.0000 3.8082
3.8082 3.8082 0.0000
Nd Pd Au
1 4 1
Direct
0.0000 0.0000 0.0000
0.3754 0.3754 0.3754
0.3754 0.3754 0.8739
0.3754 0.8739 0.3754
0.8739 0.3754 0.3754
0.7500 0.7500 0.7500

=====

# 9
NdPd2Au4 (PBE, relaxed); crystal system = tetragonal; final energy = -27.7 eV per cell; energy above the lowest structure with this stoichiometry = 567 meV per atom
1.0
-4.2135 4.2135 2.5966
4.2135 -4.2135 2.5966
4.2135 4.2135 -2.5966
Nd Pd Au
1 2 4
Direct
0.0000 0.0000 0.0000
0.2500 0.7500 0.5000
0.7500 0.2500 0.5000
0.2735 0.5000 0.7735
0.5000 0.2735 0.7735
0.5000 0.7265 0.2265
0.7265 0.5000 0.2265

=====

# 10
Nd2PdAu2 (PBE, relaxed); crystal system = monoclinic; final energy = -50.7 eV per cell
1.0
5.3800 -2.0409 0.0000
5.3800 2.0409 0.0000
-4.1554 0.0000 10.9752
Nd Pd Au
4 2 4
Direct
0.0066 0.0066 0.3403
0.1823 0.1823 0.1138
0.8177 0.8177 0.8862
0.9934 0.9934 0.6597
0.2993 0.2993 0.6925
0.7007 0.7007 0.3075
0.3514 0.3514 0.4517
0.4581 0.4581 0.1099
0.5419 0.5419 0.8901
0.6486 0.6486 0.5483

=====

# 11
NdPd5Au7 (PBE, relaxed); crystal system = orthorhombic; final energy = -57.3 eV per cell
1.0
-2.7718 4.6727 4.6344
2.7718 -4.6727 4.6344
2.7718 4.6727 -4.6344
Nd Pd Au
1 5 7
Direct
0.0000 0.0000 0.0000
0.0083 0.0095 0.4976
0.0083 0.5107 0.9988
0.5119 0.0095 0.0012
0.5119 0.5107 0.5024
0.7837 0.2837 0.5000
0.2144 0.5085 0.7058
0.2345 0.7345 0.5000
0.3433 0.3433 0.0000
0.3545 0.0120 0.3426
0.6654 0.6654 0.0000
0.6694 0.0120 0.6574
0.8027 0.5085 0.2942

=====

# 12
Nd3Pd7Au2 (PBE, relaxed); crystal system = tetragonal; final energy = -64.5 eV per cell
1.0
-2.0468 2.0468 14.5922
2.0468 -2.0468 14.5922
2.0468 2.0468 -14.5922
Nd Pd Au
3 7 2
Direct
0.0000 0.0000 0.0000
0.1731 0.1731 0.0000
0.8269 0.8269 0.0000
0.0737 0.5737 0.5000
0.2705 0.2705 0.0000
0.4263 0.9263 0.5000
0.5000 0.5000 0.0000
0.5737 0.0737 0.5000
0.7295 0.7295 0.0000
0.9263 0.4263 0.5000
0.3631 0.3631 0.0000
0.6369 0.6369 0.0000

=====

# 13
Nd3PdAu2 (PBE, relaxed); crystal system = orthorhombic; final energy = -61.1 eV per cell
1.0
2.6067 -7.8113 0.0000
2.6067 7.8113 0.0000
0.0000 0.0000 7.3851
Nd Pd Au
6 2 4
Direct
0.0000 0.0000 0.2473
0.0000 0.0000 0.7527
0.3314 0.6686 0.2449
0.3314 0.6686 0.7551
0.6686 0.3314 0.2449
0.6686 0.3314 0.7551
0.1646 0.8354 0.0000
0.8354 0.1646 0.0000
0.1662 0.8338 0.5000
0.5000 0.5000 0.0000
0.5000 0.5000 0.5000
0.8338 0.1662 0.5000

=====

# 14
NdPd6Au3 (PBE, relaxed); crystal system = orthorhombic; final energy = -95.6 eV per cell
1.0
9.6194 0.0000 0.0000
0.0000 10.6161 0.0000
0.0000 0.0000 3.5975
Nd Pd Au
2 12 6
Direct
0.0000 0.0000 0.0000
0.5000 0.5000 0.5000
0.0884 0.2571 0.0000
0.2069 0.4177 0.5000
0.2330 0.1112 0.5000
0.2670 0.6112 0.0000
0.2931 0.9177 0.0000
0.4116 0.7571 0.5000
0.5884 0.2429 0.5000
0.7069 0.0823 0.0000
0.7330 0.3888 0.0000
0.7670 0.8888 0.5000
0.7931 0.5823 0.5000
0.9116 0.7429 0.0000
0.0000 0.5000 0.0000
0.1226 0.7788 0.5000
0.3774 0.2788 0.0000
0.5000 0.0000 0.5000
0.6226 0.7212 0.0000
0.8774 0.2212 0.5000

=====

# 15
NdPd2Au10 (PBE, relaxed); crystal system = orthorhombic; final energy = -51.0 eV per cell
1.0
0.0000 6.5490 6.8199
2.8024 0.0000 6.8199
2.8024 6.5490 0.0000
Nd Pd Au
1 2 10
Direct
0.0000 0.0000 0.0000
0.0000 0.0000 0.5000
0.5000 0.5000 0.0000
0.0000 0.5000 0.0000
0.0086 0.6574 0.3426
0.2862 0.5025 0.4975
0.3426 0.9914 0.0086
0.4975 0.7138 0.2862
0.5000 0.0000 0.5000
0.5025 0.2862 0.7138
0.6574 0.0086 0.9914
0.7138 0.4975 0.5025
0.9914 0.3426 0.6574

=====

# 16
Nd3Pd3Au2 (PBE, relaxed); crystal system = orthorhombic; final energy = -170.5 eV per cell; energy above the lowest structure with this stoichiometry = 0 meV per atom
1.0
7.5491 0.0000 0.0000
0.0000 17.0946 0.0000
0.0000 0.0000 5.7059
Nd Pd Au
12 12 8
Direct
0.0287 0.1014 0.1351
0.0287 0.3986 0.1351
0.1669 0.2500 0.6265
0.3331 0.7500 0.1265
0.4713 0.6014 0.6351
0.4713 0.8986 0.6351
0.5287 0.1014 0.3649
0.5287 0.3986 0.3649
0.6669 0.2500 0.8735
0.8331 0.7500 0.3735
0.9713 0.6014 0.8649
0.9713 0.8986 0.8649
0.1888 0.0248 0.5751
0.1888 0.4752 0.5751
0.1954 0.7500 0.6561
0.3046 0.2500 0.1561
0.3112 0.5248 0.0751
0.3112 0.9752 0.0751
0.6888 0.0248 0.9249
0.6888 0.4752 0.9249
0.6954 0.7500 0.8439
0.8046 0.2500 0.3439
0.8112 0.5248 0.4249
0.8112 0.9752 0.4249
0.1146 0.6199 0.3618
0.1146 0.8801 0.3618
0.3854 0.1199 0.8618
0.3854 0.3801 0.8618
0.6146 0.6199 0.1382
0.6146 0.8801 0.1382
0.8854 0.1199 0.6382
0.8854 0.3801 0.6382

=====

# 17
NdPd3Au2 (PBE, relaxed); crystal system = hexagonal; final energy = -60.2 eV per cell; energy above the lowest structure with this stoichiometry = 11 meV per atom
1.0
4.6708 0.0000 0.0000
-2.3354 4.0451 0.0000
0.0000 0.0000 12.0180
Nd Pd Au
2 6 4
Direct
0.0000 0.0000 0.2500
0.0000 0.0000 0.7500
0.0000 0.0000 0.0000
0.0000 0.0000 0.5000
0.3333 0.6667 0.1298
0.3333 0.6667 0.3702
0.6667 0.3333 0.6298
0.6667 0.3333 0.8702
0.3333 0.6667 0.5985
0.3333 0.6667 0.9015
0.6667 0.3333 0.0985
0.6667 0.3333 0.4015

=====

# 18
NdPd3Au2 (PBE, relaxed); crystal system = orthorhombic; final energy = -30.1 eV per cell; energy above the lowest structure with this stoichiometry = 0 meV per atom
1.0
2.1375 -6.4160 0.0000
2.1375 6.4160 0.0000
0.0000 0.0000 4.0405
Nd Pd Au
1 3 2
Direct
0.0000 0.0000 0.0000
0.1725 0.8275 0.5000
0.5000 0.5000 0.5000
0.8275 0.1725 0.5000
0.3311 0.6689 0.0000
0.6689 0.3311 0.0000

=====

# 19
Nd6Pd3Au (PBE, relaxed); crystal system = orthorhombic; final energy = -104.9 eV per cell
1.0
5.5716 -7.2682 0.0000
5.5716 7.2682 0.0000
0.0000 0.0000 7.3724
Nd Pd Au
12 6 2
Direct
0.0053 0.9947 0.5000
0.1021 0.5482 0.5472
0.2397 0.7603 0.1293
0.2937 0.3583 0.1023
0.3583 0.2937 0.6023
0.4518 0.8979 0.5472
0.5482 0.1021 0.0472
0.6417 0.7063 0.1023
0.7063 0.6417 0.6023
0.7603 0.2397 0.6293
0.8979 0.4518 0.0472
0.9947 0.0053 0.0000
0.0698 0.2883 0.7870
0.2883 0.0698 0.2870
0.4081 0.5919 0.3869
0.5919 0.4081 0.8869
0.7117 0.9302 0.7870
0.9302 0.7117 0.2870
0.1644 0.8356 0.7572
0.8356 0.1644 0.2572

=====

# 20
Nd3Pd3Au (PBE, relaxed); crystal system = monoclinic; final energy = -77.3 eV per cell
1.0
5.4116 -1.9966 0.0000
5.4116 1.9966 0.0000
-4.1380 0.0000 15.4379
Nd Pd Au
6 6 2
Direct
0.0132 0.0132 0.3863
0.1089 0.1089 0.9251
0.2231 0.2231 0.2220
0.7769 0.7769 0.7780
0.8911 0.8911 0.0749
0.9868 0.9868 0.6137
0.3631 0.3631 0.4723
0.3868 0.3868 0.9257
0.4984 0.4984 0.2231
0.5016 0.5016 0.7769
0.6132 0.6132 0.0743
0.6369 0.6369 0.5277
0.2784 0.2784 0.6314
0.7216 0.7216 0.3686

=====

no.,ΔH_f (0 K) (meV/atom)
1,-481
2,-406
3,-575
4,-120
5,-467
6,-791
7,-764
8,-565
9,87
10,-809
11,-283
12,-610
13,-749
14,-203
15,-238
16,-773
17,-531
18,-541
19,-500
20,-782